# 1
# ThGa2Rh2

A relaxed structure of ThGa2Rh2 (PBE, Alexandria).

Cell: 10.823 10.823 10.823 Å, 157.36 157.36 32.23°
Fractional coordinates of all 10 atoms:
1 Th 0.131 0.131 0.000
2 Th 0.869 0.869 0.000
3 Ga 0.000 0.500 0.500
4 Ga 0.313 0.313 0.000
5 Ga 0.500 0.000 0.500
6 Ga 0.687 0.687 0.000
7 Rh 0.250 0.750 0.500
8 Rh 0.431 0.431 0.000
9 Rh 0.569 0.569 0.000
10 Rh 0.750 0.250 0.500

Summary:
E_form = -0.809 eV per atom

---

# 2
# Cs

A relaxed structure of Cs (PBE, Alexandria).

Cell: 8.744 8.744 5.210 Å, 90.00 90.00 120.00°
Fractional coordinates of all 3 atoms:
1 Cs 0.000 0.000 0.000
2 Cs 0.333 0.667 0.500
3 Cs 0.667 0.333 0.500

Summary:
E_form = 0.009 eV per atom
Offset from the most stable computed form = 1 kJ/mol of formula units

---

# 3
# Te2Pd2Au

A relaxed structure of Te2Pd2Au (PBE, Alexandria).

Cell: 5.265 5.265 8.209 Å, 90.00 90.00 90.00°
Fractional coordinates of all 10 atoms:
1 Te 0.000 0.500 0.250
2 Te 0.000 0.500 0.750
3 Te 0.500 0.000 0.250
4 Te 0.500 0.000 0.750
5 Pd 0.000 0.000 0.165
6 Pd 0.000 0.000 0.835
7 Pd 0.500 0.500 0.335
8 Pd 0.500 0.500 0.665
9 Au 0.000 0.000 0.500
10 Au 0.500 0.500 0.000

Summary:
E_tot = -3.94 eV per atom

---

N(E_F) across the listed records, respectively: 8.3 3.6 5.5 states/eV/cell.